This record from Alexandria via LeMat-Bulk describes PaCoAs2Pd2 after structural relaxation. The functional is PBE.

```
PaCoAs2Pd2
1.0
3.9124 0.0000 0.0000
0.0000 7.6153 0.0000
0.0000 0.0000 6.9847
Pa Co As Pd
2 2 4 4
direct
0.0000 0.0668 0.0000
0.0000 0.9332 0.5000
0.5000 0.1306 0.6837
0.5000 0.8694 0.1837
0.0000 0.3245 0.6748
0.0000 0.6755 0.1748
0.5000 0.1612 0.3111
0.5000 0.8388 0.8111
0.0000 0.3766 0.3086
0.0000 0.6234 0.8086
0.5000 0.3627 0.9825
0.5000 0.6373 0.4825
```

Formation energy from the elements ... -0.54 eV/atom
N(E_F) ... 7.4 states/eV/cell


This record from Alexandria via LeMat-Bulk describes Pa2Co3As4Pt after structural relaxation. The functional is PBE.

```
Pa2Co3As4Pt
1.0
4.2160 0.0000 0.0000
0.0000 4.2160 0.0000
0.0000 0.0000 9.3142
Pa Co As Pt
2 3 4 1
direct
0.0000 0.5000 0.2426
0.5000 0.0000 0.7574
0.0000 0.5000 0.8917
0.5000 0.0000 0.1083
0.5000 0.5000 0.5000
0.0000 0.0000 0.0000
0.0000 0.5000 0.6473
0.5000 0.0000 0.3527
0.5000 0.5000 0.0000
0.0000 0.0000 0.5000
```

Formation energy from the elements ... -0.66 eV/atom
N(E_F) ... 10.0 states/eV/cell


This record from Alexandria via LeMat-Bulk describes Pa2Co4As3Rh after structural relaxation. The functional is PBE.

```
Pa2Co4As3Rh
1.0
3.8036 0.0000 0.0000
0.0000 3.8036 0.0000
0.0000 0.0000 10.7211
Pa Co As Rh
2 4 3 1
direct
0.0000 0.5000 0.2396
0.5000 0.0000 0.7604
0.0000 0.0000 0.5000
0.0000 0.5000 0.8352
0.5000 0.0000 0.1648
0.5000 0.5000 0.5000
0.0000 0.0000 0.0000
0.0000 0.5000 0.6229
0.5000 0.0000 0.3771
0.5000 0.5000 0.0000
```

Formation energy from the elements ... -0.64 eV/atom
N(E_F) ... 6.1 states/eV/cell


This record from Alexandria via LeMat-Bulk describes Pa2Co3As4Ru after structural relaxation. The functional is PBE.

```
Pa2Co3As4Ru
1.0
4.1827 0.0000 0.0000
0.0000 4.1827 0.0000
0.0000 0.0000 9.2488
Pa Co As Ru
2 3 4 1
direct
0.0000 0.5000 0.2489
0.5000 0.0000 0.7511
0.0000 0.0000 0.0000
0.0000 0.5000 0.6119
0.5000 0.0000 0.3881
0.0000 0.0000 0.5000
0.0000 0.5000 0.8586
0.5000 0.0000 0.1414
0.5000 0.5000 0.5000
0.5000 0.5000 0.0000
```

Formation energy from the elements ... -0.68 eV/atom
N(E_F) ... 5.4 states/eV/cell


This record from Alexandria via LeMat-Bulk describes Pa2Co4As3Ru after structural relaxation. The functional is PBE.

```
Pa2Co4As3Ru
1.0
3.7865 0.0000 0.0000
0.0000 3.7865 0.0000
0.0000 0.0000 10.7851
Pa Co As Ru
2 4 3 1
direct
0.0000 0.5000 0.2370
0.5000 0.0000 0.7630
0.0000 0.0000 0.5000
0.0000 0.5000 0.8344
0.5000 0.0000 0.1656
0.5000 0.5000 0.5000
0.0000 0.0000 0.0000
0.0000 0.5000 0.6230
0.5000 0.0000 0.3770
0.5000 0.5000 0.0000
```

Formation energy from the elements ... -0.57 eV/atom
N(E_F) ... 5.7 states/eV/cell


This record from Alexandria via LeMat-Bulk describes PaCoAs2Ru2 after structural relaxation. The functional is PBE.

```
PaCoAs2Ru2
1.0
-1.9586 1.9586 7.2967
1.9586 -1.9586 7.2967
1.9586 1.9586 -7.2967
Pa Co As Ru
1 1 2 2
direct
0.0000 0.0000 0.0000
0.5000 0.5000 0.0000
0.3466 0.3466 0.0000
0.6534 0.6534 0.0000
0.2500 0.7500 0.5000
0.7500 0.2500 0.5000
```

Formation energy from the elements ... -0.23 eV/atom
N(E_F) ... 6.8 states/eV/cell


This record from Alexandria via LeMat-Bulk describes PaCoAsS after structural relaxation. The functional is PBE.

```
PaCoAsS
1.0
4.1488 0.0000 0.0000
0.0000 4.1488 0.0000
0.0000 0.0000 8.1592
Pa Co As S
2 2 2 2
direct
0.2500 0.2500 0.2235
0.7500 0.7500 0.7765
0.2500 0.7500 0.5000
0.7500 0.2500 0.5000
0.2500 0.2500 0.6529
0.7500 0.7500 0.3471
0.2500 0.7500 0.0000
0.7500 0.2500 0.0000
```

Formation energy (no corrections) ... -392 kJ/mol of formula units
N(E_F) ... 1.5 states/eV/cell


This record from Alexandria via LeMat-Bulk describes PaCoAsSe after structural relaxation. The functional is PBE.

```
PaCoAsSe
1.0
4.1767 0.0000 0.0000
0.0000 4.1767 0.0000
0.0000 0.0000 8.4705
Pa Co As Se
2 2 2 2
direct
0.2500 0.2500 0.2444
0.7500 0.7500 0.7556
0.2500 0.7500 0.5000
0.7500 0.2500 0.5000
0.2500 0.2500 0.6509
0.7500 0.7500 0.3491
0.2500 0.7500 0.0000
0.7500 0.2500 0.0000
```

Formation energy (no corrections) ... -333 kJ/mol of formula units
N(E_F) ... 3.0 states/eV/cell


This record from Alexandria via LeMat-Bulk describes Pa4CoAsSe2 after structural relaxation. The functional is PBE.

```
Pa4CoAsSe2
1.0
7.0828 0.0000 0.0000
0.0000 3.8866 0.0000
-2.2444 0.0000 6.7915
Pa Co As Se
4 1 1 2
direct
0.2188 0.0000 0.2201
0.2399 0.5000 0.7584
0.7601 0.5000 0.2416
0.7812 0.0000 0.7799
0.0000 0.5000 0.0000
0.0000 0.0000 0.5000
0.5000 0.0000 0.0000
0.5000 0.5000 0.5000
```

Formation energy (no corrections) ... -705 kJ/mol of formula units
N(E_F) ... 13.2 states/eV/cell


This record from Alexandria via LeMat-Bulk describes Pa3Co9Si2As after structural relaxation. The functional is PBE.

```
Pa3Co9Si2As
1.0
5.1214 0.0000 0.0000
-2.5607 4.4352 0.0000
0.0000 0.0000 10.3706
Pa Co Si As
3 9 2 1
direct
0.0000 0.0000 0.0000
0.3333 0.6667 0.7230
0.6667 0.3333 0.2770
0.0000 0.5000 0.0000
0.1667 0.3334 0.3304
0.1667 0.8333 0.3304
0.3334 0.1667 0.6696
0.5000 0.0000 0.0000
0.5000 0.5000 0.0000
0.6666 0.8333 0.3304
0.8333 0.1667 0.6696
0.8333 0.6666 0.6696
0.3333 0.6667 0.1654
0.6667 0.3333 0.8346
0.0000 0.0000 0.5000
```

Formation energy (no corrections) ... -438 kJ/mol of formula units
N(E_F) ... 11.0 states/eV/cell


Number 1: total moment 0.000 μB per formula unit. Number 2: total moment 0.508 μB per formula unit. Number 3: total moment 0.424 μB per formula unit. Number 4: total moment 1.045 μB per formula unit. Number 5: total moment 0.294 μB per formula unit. Number 6: total moment 0.464 μB per formula unit. Number 7: total moment 0.969 μB per formula unit. Number 8: total moment 0.890 μB per formula unit. Number 9: total moment 0.001 μB per formula unit. Number 10: total moment 0.000 μB per formula unit.